A geometry-optimized BePdS structure, computed with PBE.

Calculated values
**Crystal system**: triclinic
**Total moment**: 0.00 μB/cell
**Formation energy (no corrections)**: -1.31 eV per formula unit
**Calculated volume**: 15.1 A^3/atom

```
data_BePdS
_space_group_name_H-M_alt 'P 1'
_space_group_IT_number 1
_space_group_name_Hall 'P 1'
_cell_length_a 3.3157
_cell_length_b 3.9216
_cell_length_c 7.1741
_cell_angle_alpha 88.37
_cell_angle_beta 76.80
_cell_angle_gamma 89.83
loop_
_atom_site_label
_atom_site_fract_x
_atom_site_fract_y
_atom_site_fract_z
Be1 0.0000 0.0000 0.0000
Be2 0.2716 0.7892 0.4626
Pd1 0.5161 0.5110 0.9777
Pd2 0.6477 0.0221 0.7189
S1 0.4081 0.9980 0.1836
S2 0.7425 0.5241 0.5235
```